{
  "formula": "CsTi8O16",
  "functional": "PBEsol",
  "state": "optimized geometry",
  "total_magnetization_mub_per_fu": 0.6,
  "raw_formation_energy_ev_per_atom": -2.999,
  "lattice_angstrom": [[-7.2372, 7.2372, 2.9508], [7.2372, -7.2372, 2.9508], [7.2372, 7.2372, -2.9508]],
  "species": ["Cs", "Cs", "Ti", "Ti", "Ti", "Ti", "Ti", "Ti", "Ti", "Ti", "Ti", "Ti", "Ti", "Ti", "Ti", "Ti", "Ti", "Ti", "O", "O", "O", "O", "O", "O", "O", "O", "O", "O", "O", "O", "O", "O", "O", "O", "O", "O", "O", "O", "O", "O", "O", "O", "O", "O", "O", "O", "O", "O", "O", "O"],
  "fractional_positions": [[0.3750, 0.1250, 0.2500], [0.6250, 0.8750, 0.7500], [0.0356, 0.6157, 0.9004], [0.1157, 0.7152, 0.5800], [0.1287, 0.0322, 0.9116], [0.2152, 0.1352, 0.5996], [0.2829, 0.3713, 0.4035], [0.3648, 0.4644, 0.0800], [0.3793, 0.7829, 0.4116], [0.4678, 0.8793, 0.0965], [0.5322, 0.1207, 0.9035], [0.6207, 0.2171, 0.5884], [0.6352, 0.5356, 0.9200], [0.7171, 0.6287, 0.5965], [0.7848, 0.8648, 0.4004], [0.8713, 0.9678, 0.0884], [0.8843, 0.2848, 0.4200], [0.9644, 0.3843, 0.0996], [0.0247, 0.8132, 0.5851], [0.0561, 0.1489, 0.9579], [0.0603, 0.4753, 0.2885], [0.0997, 0.0589, 0.4072], [0.1517, 0.6925, 0.0928], [0.1915, 0.2742, 0.2123], [0.1925, 0.5997, 0.5408], [0.2258, 0.9381, 0.9173], [0.2718, 0.5603, 0.0851], [0.3091, 0.9018, 0.4579], [0.3132, 0.2282, 0.7885], [0.3511, 0.8091, 0.9073], [0.4018, 0.4439, 0.5927], [0.4381, 0.0208, 0.7123], [0.4411, 0.3483, 0.0408], [0.4792, 0.6915, 0.4173], [0.5208, 0.3085, 0.5827], [0.5589, 0.6517, 0.9592], [0.5619, 0.9792, 0.2877], [0.5982, 0.5561, 0.4073], [0.6489, 0.1909, 0.0927], [0.6868, 0.7718, 0.2115], [0.6909, 0.0982, 0.5421], [0.7282, 0.4397, 0.9149], [0.7742, 0.0619, 0.0827], [0.8075, 0.4003, 0.4592], [0.8085, 0.7258, 0.7877], [0.8483, 0.3075, 0.9072], [0.9003, 0.9411, 0.5928], [0.9397, 0.5247, 0.7115], [0.9439, 0.8511, 0.0421], [0.9753, 0.1868, 0.4149]]
}

=====

{
  "formula": "Rb3BeBi",
  "functional": "PBEsol",
  "state": "optimized geometry",
  "total_energy_ev_per_cell": -8.50,
  "total_magnetization_mub_per_fu": 0.0,
  "lattice_angstrom": [[7.0830, 0.0000, 0.0000], [0.0000, 7.0830, 0.0000], [0.0000, 0.0000, 7.0830]],
  "species": ["Rb", "Rb", "Rb", "Be", "Bi"],
  "fractional_positions": [[0.0000, 0.0000, 0.5000], [0.0000, 0.5000, 0.0000], [0.5000, 0.0000, 0.0000], [0.5000, 0.5000, 0.5000], [0.0000, 0.0000, 0.0000]]
}

=====

{
  "formula": "Sr2FeOs",
  "functional": "PBEsol",
  "state": "optimized geometry",
  "e_above_lowest_polymorph_ev_per_atom": 0.614,
  "total_magnetization_mub_per_fu": 3.9,
  "lattice_angstrom": [[0.0000, 3.6025, 3.6025], [3.6025, 0.0000, 3.6025], [3.6025, 3.6025, 0.0000]],
  "species": ["Sr", "Sr", "Fe", "Os"],
  "fractional_positions": [[0.2500, 0.2500, 0.2500], [0.7500, 0.7500, 0.7500], [0.0000, 0.0000, 0.0000], [0.5000, 0.5000, 0.5000]]
}